[1]
The following is a DFT calculation (PBE) of an optimized crystal structure of In2CoAs.

abc: 5.269 5.269 5.269
angles: 132.88 132.88 68.85
Each line ends with the local moment (μB).
Positions (direct):
As (0.500, 0.500, 0.000)  -0.01
In (0.000, 0.000, 0.000)  -0.02
In (0.250, 0.750, 0.500)  -0.01
Co (0.750, 0.250, 0.500)  1.16

[2]
The following is a DFT calculation (PBE) of an optimized crystal structure of DyTm2Pa.

abc: 3.305 3.305 12.253
angles: 82.25 82.25 60.00
Positions (direct):
Pa (0.000, 0.000, 0.000)
Tm (0.912, 0.912, 0.263)
Dy (0.500, 0.500, 0.500)
Tm (0.088, 0.088, 0.737)

Calculated values
ΔE to the lowest computed polymorph ... 170 meV/atom

[3]
The following is a DFT calculation (PBE) of an optimized crystal structure of GdErLu.

abc: 3.518 3.518 7.862
angles: 102.93 102.93 90.00
Each line ends with the local moment (μB).
Positions (direct):
Er (0.002, 0.002, 0.005)  -0.06
Lu (0.665, 0.665, 0.329)  -0.03
Gd (0.333, 0.333, 0.666)  7.19

Calculated values
ΔE to the lowest computed polymorph ... 0 meV/atom

no.,DOS(E_F) (states/eV/atom),energy of formation from the pure elements (eV/atom)
1,0.9778,0.372
2,1.4183,0.270
3,1.5382,0.029